A relaxed UCo2Si2Pt crystal, computed with GGA-PBE.

Summary:
calculated total energy	-7.6065	eV per atom
D(E_F)	4.10	states/eV per cell
calculated volume	87	Å³/f.u.
ΔE_f (raw)	-0.54	eV/atom

Geometry as CIF:
```
data_UCo2Si2Pt
_chemical_formula_sum 'U1 Co2 Si2 Pt1'
_symmetry_space_group_name_H-M 'P 1'
_symmetry_Int_Tables_number 1
_symmetry_space_group_name_Hall 'P 1'
_cell_length_a 3.9730
_cell_length_b 3.9730
_cell_length_c 6.3984
_cell_angle_alpha 90.00
_cell_angle_beta 90.00
_cell_angle_gamma 120.00
loop_
_atom_site_label
_atom_site_fract_x
_atom_site_fract_y
_atom_site_fract_z
U1 0.0000 0.0000 0.5000
Co1 0.3333 0.6667 0.7684
Co2 0.6667 0.3333 0.2316
Si1 0.3333 0.6667 0.1931
Si2 0.6667 0.3333 0.8069
Pt1 0.0000 0.0000 0.0000
```